The following is a PBE calculation of an optimized crystal structure of NaFeB, from OQMD via LeMat-Bulk.

Results
As for the symmetry: No. 216. The calculation puts the calculated total energy at -3.4149 eV/atom. As for the crystal system: cubic.

Cell and atoms, written as extended XYZ:
```
3
Lattice="0.047 -3.669 1.805 2.022 -0.524 3.515 -2.066 -0.595 3.478" Properties=species:S:1:pos:R:3 pbc="T T T"
Fe 0.002 -3.590 6.599
B 0.001 -1.197 2.200
Na 0.000 0.000 0.000
```